1.
First-principles (GGA-PBE) data for crystalline ZrMn2ZnH at its relaxed geometry, as listed in Alexandria via LeMat-Bulk.

Values from the calculation:
* volume: 12.66 Å³/atom
* energy: -31.65 eV/cell

Unit cell a=3.9535 b=3.9535 c=4.0486 alpha=90.00 beta=90.00 gamma=90.00
Atoms (fractional coordinates):
Mn  0.0000  0.5000  0.0000
H  0.0000  0.0000  0.0000
Zn  0.5000  0.5000  0.5000
Mn  0.5000  0.0000  0.0000
Zr  0.0000  0.0000  0.5000

---

2.
First-principles (GGA-PBE) data for crystalline ZrMn2H8 at its relaxed geometry, as listed in Alexandria via LeMat-Bulk.

Values from the calculation:
* volume: 6.43 Å³/atom
* energy: -54.73 eV/cell

Unit cell a=4.0212 b=4.0212 c=4.3764 alpha=90.00 beta=90.00 gamma=90.00
Atoms (fractional coordinates):
H  0.7865  0.2135  0.7856
H  0.2135  0.7865  0.7856
Mn  0.0000  0.5000  0.0000
H  0.2135  0.7865  0.2144
Mn  0.5000  0.0000  0.0000
H  0.7865  0.2135  0.2144
H  0.7865  0.7865  0.2144
H  0.7865  0.7865  0.7856
H  0.2135  0.2135  0.7856
H  0.2135  0.2135  0.2144
Zr  0.5000  0.5000  0.5000

---

3.
First-principles (GGA-PBE) data for crystalline ZrMnH2 at its relaxed geometry, as listed in Alexandria via LeMat-Bulk.

Values from the calculation:
* volume: 10.15 Å³/atom
* energy: -23.71 eV/cell

Unit cell a=3.8585 b=3.8585 c=3.8585 alpha=60.00 beta=60.00 gamma=60.00
Atoms (fractional coordinates):
H  0.2500  0.2500  0.2500
Zr  0.5000  0.5000  0.5000
Mn  0.0000  0.0000  0.0000
H  0.7500  0.7500  0.7500

---

4.
First-principles (GGA-PBE) data for crystalline Zr3MnH at its relaxed geometry, as listed in Alexandria via LeMat-Bulk.

Values from the calculation:
* volume: 16.41 Å³/atom
* energy: -37.44 eV/cell

Unit cell a=4.3456 b=4.3456 c=4.3456 alpha=90.00 beta=90.00 gamma=90.00
Atoms (fractional coordinates):
Zr  0.0000  0.0000  0.5000
H  0.0000  0.0000  0.0000
Zr  0.5000  0.0000  0.0000
Zr  0.0000  0.5000  0.0000
Mn  0.5000  0.5000  0.5000

---

5.
First-principles (GGA-PBE) data for crystalline ZrMnH4 at its relaxed geometry, as listed in Alexandria via LeMat-Bulk.

Values from the calculation:
* volume: 8.17 Å³/atom
* energy: -64.63 eV/cell

Unit cell a=5.4123 b=5.5736 c=4.7362 alpha=104.49 beta=102.89 gamma=126.30
Atoms (fractional coordinates):
Zr  0.3771  0.6271  0.2543
H  0.0846  0.7493  0.1879
Mn  0.2921  0.0421  0.0842
Zr  0.6229  0.3729  0.7457
H  0.8892  0.8454  0.7368
H  0.6033  0.4386  0.1879
Mn  0.7079  0.9579  0.9158
H  0.6524  0.1086  0.2632
H  0.3967  0.5614  0.8121
H  0.1108  0.1546  0.2632
H  0.3476  0.8914  0.7368
H  0.9154  0.2507  0.8121

---

6.
First-principles (GGA-PBE) data for crystalline Zr2MnH at its relaxed geometry, as listed in Alexandria via LeMat-Bulk.

Values from the calculation:
* volume: 14.80 Å³/atom
* energy: -29.50 eV/cell

Unit cell a=3.2529 b=3.2529 c=6.7296 alpha=76.01 beta=76.01 gamma=60.00
Atoms (fractional coordinates):
Mn  0.0000  0.0000  0.0000
Zr  0.7606  0.7606  0.7183
Zr  0.2394  0.2394  0.2817
H  0.5000  0.5000  0.5000